A relaxed SrMgCr crystal, computed with PBE-GGA.

- M_tot: 1.572 μB/atom
- DFT total energy: -3.642 eV/atom
- E above lowest polymorph: 187 meV per atom
- E_form: 0.658 eV/atom

```
SrMgCr
1.0
-2.8177 1.9902 -3.9171
-4.9220 1.5225 0.8365
-1.2019 5.0792 -0.0323
Sr Cr Mg
1 1 1
Cartesian
-4.4708 4.2960 -1.5564
-6.7062 6.4440 -2.3346
0.0000 0.0000 0.0000
```